Computed, not measured: a relaxed TbHICl crystal at the PBE-GGA level of DFT.

The structure in POSCAR format:
```
TbHICl
1.0
3.888 0.000 0.000
-1.944 3.367 0.000
0.000 0.000 15.005
Cl H I Tb
2 2 2 2
Direct
0.333 0.667 0.372 Cl
0.667 0.333 0.872 Cl
0.667 0.333 0.255 H
0.333 0.667 0.755 H
0.333 0.667 0.114 I
0.667 0.333 0.614 I
0.000 0.000 0.259 Tb
0.000 0.000 0.759 Tb
```

Computed properties:
Distance to the lowest polymorph of the same formula (eV/f.u.): 0.000
Space group: No. 186


Computed, not measured: a relaxed ErSb crystal at the PBE-GGA level of DFT.

The structure in POSCAR format:
```
ErSb
1.0
-1.606 -3.404 0.183
1.953 -0.753 3.134
-2.795 1.430 2.085
Er Sb
1 1
Direct
0.000 0.000 0.000 Er
0.500 0.500 0.500 Sb
```

Computed properties:
Space group: No. 221
Total DFT energy (no corrections) (eV/f.u.): -10.19


Computed, not measured: a relaxed Fe2Sn8S crystal at the PBE-GGA level of DFT.

The structure in POSCAR format:
```
Fe2Sn8S
1.0
-5.312 -3.855 -7.713
-3.845 -7.050 6.171
-7.559 6.038 2.189
Fe S Sn
8 4 32
Direct
0.306 0.306 0.238 Fe
0.694 0.694 0.238 Fe
0.806 0.194 0.262 Fe
0.194 0.806 0.262 Fe
0.806 0.194 0.738 Fe
0.194 0.806 0.738 Fe
0.306 0.306 0.762 Fe
0.694 0.694 0.762 Fe
0.500 0.000 0.000 S
0.000 0.500 0.000 S
0.500 0.000 0.500 S
0.000 0.500 0.500 S
0.812 0.188 0.000 Sn
0.192 0.192 0.000 Sn
0.401 0.401 0.000 Sn
0.599 0.599 0.000 Sn
0.808 0.808 0.000 Sn
0.188 0.812 0.000 Sn
0.000 0.000 0.170 Sn
0.549 0.200 0.189 Sn
0.800 0.451 0.189 Sn
0.200 0.549 0.189 Sn
0.451 0.800 0.189 Sn
0.300 0.049 0.311 Sn
0.049 0.300 0.311 Sn
0.951 0.700 0.311 Sn
0.700 0.951 0.311 Sn
0.500 0.500 0.330 Sn
0.901 0.099 0.500 Sn
0.692 0.308 0.500 Sn
0.312 0.312 0.500 Sn
0.688 0.688 0.500 Sn
0.308 0.692 0.500 Sn
0.099 0.901 0.500 Sn
0.500 0.500 0.670 Sn
0.300 0.049 0.689 Sn
0.049 0.300 0.689 Sn
0.951 0.700 0.689 Sn
0.700 0.951 0.689 Sn
0.549 0.200 0.811 Sn
0.800 0.451 0.811 Sn
0.200 0.549 0.811 Sn
0.451 0.800 0.811 Sn
0.000 0.000 0.830 Sn
```

Computed properties:
Space group: No. 136
Total DFT energy (no corrections) (eV/f.u.): -51.94


Computed, not measured: a relaxed GdErSn2 crystal at the PBE-GGA level of DFT.

The structure in POSCAR format:
```
GdErSn2
1.0
3.335 0.000 0.000
0.000 3.105 6.146
0.000 -3.105 6.146
Er Gd Sn
1 1 2
Direct
0.500 0.359 0.359 Er
0.500 0.639 0.639 Gd
0.500 0.116 0.116 Sn
0.500 0.886 0.886 Sn
```

Computed properties:
Space group: No. 38
Total DFT energy (no corrections) (eV/f.u.): -16.90


Computed, not measured: a relaxed La2DyTl2Cd3In crystal at the PBE-GGA level of DFT.

The structure in POSCAR format:
```
La2DyTl2Cd3In
1.0
-2.747 -3.758 -0.870
1.212 -2.548 7.181
-5.974 4.685 -1.374
Cd Dy In La Tl
3 1 1 2 2
Direct
0.500 0.758 0.002 Cd
0.500 0.238 0.238 Cd
0.500 0.002 0.758 Cd
0.000 0.574 0.574 Dy
0.000 0.990 0.990 In
0.000 0.431 0.002 La
0.000 0.002 0.431 La
0.500 0.662 0.342 Tl
0.500 0.342 0.662 Tl
```

Computed properties:
Space group: No. 38
Total DFT energy (no corrections) (eV/f.u.): -28.12


Computed, not measured: a relaxed Zr2TaSi crystal at the PBE-GGA level of DFT.

The structure in POSCAR format:
```
Zr2TaSi
1.0
0.000 3.341 3.341
3.341 0.000 3.341
3.341 3.341 0.000
Si Ta Zr
1 1 2
Direct
0.500 0.500 0.500 Si
0.250 0.250 0.250 Ta
0.000 0.000 0.000 Zr
0.750 0.750 0.750 Zr
```

Computed properties:
Space group: No. 216
Total DFT energy (no corrections) (eV/f.u.): -34.55


Computed, not measured: a relaxed Er3InNiSn2Pt2 crystal at the PBE-GGA level of DFT.

The structure in POSCAR format:
```
Er3InNiSn2Pt2
1.0
-2.039 -1.078 2.933
6.293 -0.166 4.315
-4.136 6.393 -0.527
Er In Ni Pt Sn
3 1 1 2 2
Direct
0.000 0.408 0.408 Er
0.000 0.997 0.593 Er
0.000 0.593 0.997 Er
0.500 0.748 0.748 In
0.000 0.007 0.007 Ni
0.500 0.666 0.332 Pt
0.500 0.332 0.666 Pt
0.500 0.999 0.250 Sn
0.500 0.250 0.999 Sn
```

Computed properties:
Space group: No. 38
Total DFT energy (no corrections) (eV/f.u.): -50.73


Computed, not measured: a relaxed Zr2H crystal at the PBE-GGA level of DFT.

The structure in POSCAR format:
```
Zr2H
1.0
3.243 -4.771 0.000
3.243 4.771 0.000
0.000 0.000 3.222
H Zr
2 4
Direct
0.875 0.125 0.000 H
0.125 0.875 0.000 H
0.500 0.000 0.000 Zr
0.000 0.500 0.000 Zr
0.000 0.000 0.500 Zr
0.500 0.500 0.500 Zr
```

Computed properties:
Space group: No. 65
Total DFT energy (no corrections) (eV/f.u.): -21.18


Computed, not measured: a relaxed TmNiIr crystal at the PBE-GGA level of DFT.

The structure in POSCAR format:
```
TmNiIr
1.0
2.489 -0.560 3.545
2.222 3.372 1.663
-1.211 1.744 3.817
Ir Ni Tm
1 1 1
Direct
0.250 0.250 0.250 Ir
0.750 0.750 0.750 Ni
0.000 0.000 0.000 Tm
```

Computed properties:
Space group: No. 216
DFT formation energy (kcal/mol of atoms): 6.0


Computed, not measured: a relaxed ZnCu4NiB2 crystal at the PBE-GGA level of DFT.

The structure in POSCAR format:
```
ZnCu4NiB2
1.0
-2.354 -2.821 -0.171
2.821 -2.359 0.088
-0.300 -0.127 6.207
B Cu Ni Zn
2 4 1 1
Direct
0.000 0.000 0.000 B
0.500 0.500 0.500 B
0.500 0.000 0.245 Cu
0.000 0.500 0.245 Cu
0.500 0.000 0.755 Cu
0.000 0.500 0.755 Cu
0.500 0.500 0.000 Ni
0.000 0.000 0.500 Zn
```

Computed properties:
Space group: No. 123
Total DFT energy (no corrections) (eV/f.u.): -31.66


Computed, not measured: a relaxed SrOsPt crystal at the PBE-GGA level of DFT.

The structure in POSCAR format:
```
SrOsPt
1.0
0.000 3.307 3.307
3.307 0.000 3.307
3.307 3.307 0.000
Os Pt Sr
1 1 1
Direct
0.250 0.250 0.250 Os
0.000 0.000 0.000 Pt
0.750 0.750 0.750 Sr
```

Computed properties:
Distance to the lowest polymorph of the same formula (eV/f.u.): 0.000
Space group: No. 216


Computed, not measured: a relaxed ReF4 crystal at the PBE-GGA level of DFT.

The structure in POSCAR format:
```
ReF4
1.0
1.560 1.429 4.905
-3.716 0.337 3.823
1.743 -5.277 -3.177
F Re
8 2
Direct
0.698 0.698 0.173 F
0.242 0.242 0.207 F
0.781 0.272 0.322 F
0.272 0.781 0.322 F
0.728 0.219 0.678 F
0.219 0.728 0.678 F
0.758 0.758 0.793 F
0.302 0.302 0.827 F
0.785 0.215 0.000 Re
0.215 0.785 0.000 Re
```

Computed properties:
Distance to the lowest polymorph of the same formula (eV/f.u.): 0.000
Space group: No. 12